Below is a relaxed InAu2 crystal, with properties calculated at the PBE level.

```
3
Lattice="-2.535 3.628 -1.220 -3.797 -0.593 -2.511 -4.130 0.656 1.894" Properties=species:S:1:pos:R:3 pbc="T T T"
Au -2.615 0.923 -0.459
Au -7.846 2.768 -1.377
In 0.000 0.000 0.000
```

The electronic total energy comes out at -3.122 eV per atom. The value obtained for the density of states at the Fermi level is 1.0758 states/eV per atom. Its space-group type is No. 225. The value obtained for the density is 12.353 Mg/m³. The total moment is 0.00 μB per formula unit. The value obtained for the calculated formation energy is -0.0244 eV/atom.

***

Below is a relaxed In3Au5 crystal, with properties calculated at the PBE level.

```
16
Lattice="5.578 0.409 0.000 -0.834 5.530 0.000 0.000 0.000 10.837" Properties=species:S:1:pos:R:3 pbc="T T T"
In 4.320 1.414 5.419
Au 1.603 4.548 2.709
Au 0.405 0.507 8.128
In 3.385 4.238 8.128
Au 4.081 2.568 2.709
Au 1.472 1.843 10.582
Au 3.272 4.097 0.255
Au 1.472 1.843 5.673
In 0.423 4.526 0.000
Au 3.272 4.097 5.164
Au 0.663 3.371 8.128
Au 3.141 1.392 8.128
In 4.320 1.414 0.000
In 0.423 4.526 5.419
Au 4.339 5.433 2.709
In 1.359 1.702 2.709
```

The electronic total energy comes out at -3.220 eV per atom. The value obtained for the density of states at the Fermi level is 0.2902 states/eV per atom. Its space-group type is No. 63. The value obtained for the density is 13.061 Mg/m³. The total moment is 0.00 μB per formula unit. The value obtained for the calculated formation energy is -0.1449 eV/atom. The calculation puts the energy above the most stable polymorph in this dataset at 0.000 eV/atom.

***

Below is a relaxed InAu3 crystal, with properties calculated at the PBE level.

```
8
Lattice="5.530 0.197 0.187 0.484 5.512 0.187 0.484 0.460 5.496" Properties=species:S:1:pos:R:3 pbc="T T T"
Au 4.625 1.328 4.330
Au 1.567 4.549 4.330
Au 4.625 4.390 1.113
Au 4.931 1.619 1.541
Au 1.873 1.778 4.758
In 4.296 4.078 3.881
Au 1.873 4.840 1.541
In 2.202 2.090 1.989
```

The electronic total energy comes out at -3.205 eV per atom. The value obtained for the density of states at the Fermi level is 0.4767 states/eV per atom. Its space-group type is No. 166. The value obtained for the density is 14.112 Mg/m³. The total moment is 0.00 μB per formula unit. The value obtained for the calculated formation energy is -0.0626 eV/atom.

***

Below is a relaxed InAu3 crystal, with properties calculated at the PBE level.

```
4
Lattice="3.332 0.000 0.000 -1.666 2.886 0.000 0.000 0.000 8.376" Properties=species:S:1:pos:R:3 pbc="T T T"
In 1.666 0.962 0.000
Au 0.000 1.924 6.286
Au 0.000 1.924 2.090
Au 1.666 0.962 4.188
```

The electronic total energy comes out at -3.138 eV per atom. The value obtained for the density of states at the Fermi level is 0.2779 states/eV per atom. Its space-group type is No. 187. The value obtained for the density is 14.548 Mg/m³. The total moment is 0.00 μB per formula unit. The value obtained for the calculated formation energy is 0.0042 eV/atom.

***

Below is a relaxed In4Au crystal, with properties calculated at the PBE level.

```
5
Lattice="2.335 -1.066 5.108 -5.542 -1.400 0.109 2.669 -3.094 -3.998" Properties=species:S:1:pos:R:3 pbc="T T T"
In 1.168 -0.533 2.554
In -2.771 -0.700 0.054
In 1.334 -1.547 -1.999
In -0.269 -2.780 0.609
Au 0.000 0.000 0.000
```

The electronic total energy comes out at -2.758 eV per atom. The value obtained for the density of states at the Fermi level is 1.2580 states/eV per atom. Its space-group type is No. 229. The value obtained for the density is 7.577 Mg/m³. The total moment is 0.00 μB per formula unit. The value obtained for the calculated formation energy is 0.0879 eV/atom.

***

Below is a relaxed In3Au2 crystal, with properties calculated at the PBE level.

```
5
Lattice="-0.476 -3.334 0.693 1.667 0.382 2.983 -8.951 3.584 2.561" Properties=species:S:1:pos:R:3 pbc="T T T"
In -3.120 0.787 1.643
Au -0.991 -1.076 2.673
In -4.640 -0.156 4.594
In 0.000 0.000 0.000
Au -6.769 1.707 3.563
```

The electronic total energy comes out at -3.055 eV per atom. The value obtained for the density of states at the Fermi level is 0.2440 states/eV per atom. Its space-group type is No. 139. The value obtained for the density is 10.719 Mg/m³. The total moment is 0.00 μB per formula unit. The value obtained for the calculated formation energy is -0.1014 eV/atom.

***

Below is a relaxed In3Au crystal, with properties calculated at the PBE level.

```
4
Lattice="4.569 0.000 0.000 0.000 4.569 0.000 0.000 0.000 4.610" Properties=species:S:1:pos:R:3 pbc="T T T"
Au 0.000 0.000 0.000
In 2.284 0.000 2.305
In 0.000 2.284 2.305
In 2.284 2.284 0.000
```

The electronic total energy comes out at -2.894 eV per atom. The value obtained for the density of states at the Fermi level is 0.5088 states/eV per atom. Its space-group type is No. 123. The value obtained for the density is 9.343 Mg/m³. The total moment is 0.00 μB per formula unit. The value obtained for the calculated formation energy is -0.0211 eV/atom.

***

Below is a relaxed In3Au crystal, with properties calculated at the PBE level.

```
8
Lattice="5.806 0.000 0.000 0.000 5.806 0.000 0.000 0.000 5.806" Properties=species:S:1:pos:R:3 pbc="T T T"
In 2.903 0.000 1.452
Au 0.000 0.000 0.000
In 2.903 0.000 4.355
In 0.000 1.452 2.903
Au 2.903 2.903 2.903
In 1.452 2.903 0.000
In 0.000 4.355 2.903
In 4.355 2.903 0.000
```

The electronic total energy comes out at -2.869 eV per atom. The value obtained for the density of states at the Fermi level is 0.4737 states/eV per atom. Its space-group type is No. 223. The value obtained for the density is 9.186 Mg/m³. The total moment is 0.00 μB per formula unit. The value obtained for the calculated formation energy is 0.0038 eV/atom.

***

Below is a relaxed In3Au4 crystal, with properties calculated at the PBE level.

```
7
Lattice="10.278 -0.030 0.000 8.855 5.218 0.000 -9.567 -2.594 2.719" Properties=species:S:1:pos:R:3 pbc="T T T"
Au 10.891 2.953 0.000
Au 8.243 2.235 0.000
In 13.513 3.664 0.000
Au 16.307 4.421 0.000
In 0.000 0.000 0.000
In 5.621 1.524 0.000
Au 2.827 0.766 0.000
```

The electronic total energy comes out at -3.180 eV per atom. The value obtained for the density of states at the Fermi level is 0.3307 states/eV per atom. Its space-group type is No. 139. The value obtained for the density is 12.829 Mg/m³. The total moment is 0.00 μB per formula unit. The value obtained for the calculated formation energy is -0.1338 eV/atom. The calculation puts the energy above the most stable polymorph in this dataset at 0.000 eV/atom.

***

Below is a relaxed In3Au crystal, with properties calculated at the PBE level.

```
4
Lattice="-1.563 -3.034 0.714 3.437 0.346 0.479 -1.544 2.908 8.980" Properties=species:S:1:pos:R:3 pbc="T T T"
In -0.235 -1.271 2.601
Au 0.000 0.000 0.000
In -1.103 0.364 7.650
In -0.772 1.454 4.490
```

The electronic total energy comes out at -2.914 eV per atom. The value obtained for the density of states at the Fermi level is 0.6090 states/eV per atom. Its space-group type is No. 187. The value obtained for the density is 8.926 Mg/m³. The total moment is 0.00 μB per formula unit. The value obtained for the calculated formation energy is -0.0403 eV/atom.

***

Below is a relaxed In4Au3 crystal, with properties calculated at the PBE level.

```
14
Lattice="7.002 0.000 -2.476 -3.501 6.064 -2.476 0.000 0.000 7.427" Properties=species:S:1:pos:R:3 pbc="T T T"
Au 2.188 0.758 4.332
In 4.044 0.940 -0.854
Au 1.751 4.548 3.095
In 0.000 0.000 2.562
Au 3.064 3.790 -0.619
In 4.166 3.032 -3.330
Au -1.313 5.306 -1.857
In 0.000 0.000 6.276
Au -0.438 2.274 0.619
In -1.208 3.972 2.859
In 2.293 2.092 1.622
Au 5.252 1.516 1.857
In 0.665 3.032 -2.092
In 0.543 5.124 0.384
```

The electronic total energy comes out at -3.125 eV per atom. The value obtained for the density of states at the Fermi level is 0.3598 states/eV per atom. Its space-group type is No. 220. The value obtained for the density is 11.059 Mg/m³. The total moment is 0.00 μB per formula unit. The value obtained for the calculated formation energy is -0.1559 eV/atom.

***

Below is a relaxed In3Au crystal, with properties calculated at the PBE level.

```
4
Lattice="-6.357 3.858 5.184 -4.970 1.392 7.451 -3.342 4.607 7.054" Properties=species:S:1:pos:R:3 pbc="T T T"
In -7.335 4.929 9.845
Au 0.000 0.000 0.000
In -10.858 7.296 14.573
In -3.811 2.561 5.116
```

The electronic total energy comes out at -2.949 eV per atom. The value obtained for the density of states at the Fermi level is 0.3780 states/eV per atom. Its space-group type is No. 166. The value obtained for the density is 8.953 Mg/m³. The total moment is 0.00 μB per formula unit. The value obtained for the calculated formation energy is -0.0756 eV/atom.

***

- Which formula does entry 5 have?
  In4Au

***

- What is the total moment in the eighth record?
  0.00 μB per formula unit